A geometry-optimized CaCr2Co structure, computed with PBE.

The calculation puts the formation energy at 0.56 eV per atom. The density is 5.10 g cm⁻³. The density of states at the Fermi level is 1.0346 states/eV/atom. For the total moment, the calculation gives 0.003 μB/f.u. The total energy comes out at -6.533 eV/atom. The energy above the most stable polymorph in this dataset is 112 meV/atom.

The structure belongs to space group C2/m (No. 12); the cell edges are 9.131, 2.921 and 5.080 Å and the angles 90.00°, 102.73° and 90.00°. The asymmetric unit holds Ca at (0.000, 0.000, 0.000), Cr at (0.214, 0.000, 0.627) and Co at (0.000, 0.500, 0.500).